Compound: Sm2Ho2Ru3
Source: the Alexandria database
Functional: GGA-PBE
Structure: relaxed

Cell: 3.384 7.606 7.648 Å, 111.86 63.81 90.06°
Fractional positions:
Ru 0.754 0.494 0.246
Ru 0.246 0.506 0.754
Ru 0.000 0.000 0.000
Sm 0.121 0.247 0.379
Sm 0.879 0.753 0.621
Ho 0.604 0.261 0.894
Ho 0.396 0.739 0.106

Results
total energy: -6.898 eV/atom
space-group type: P-1
magnetization: 0.00 μB/f.u.
energy relative to the elements: -1.87 eV per formula unit
relative energy among the computed polymorphs: 0 meV per atom

Compound: SmHo5Ru3
Source: the Alexandria database
Functional: GGA-PBE
Structure: relaxed

Cell: 7.616 7.616 9.958 Å, 71.81 71.81 72.21°
Fractional positions:
Ho 0.637 0.036 0.671
Ho 0.964 0.363 0.329
Ho 0.571 0.571 0.629
Ho 0.429 0.429 0.371
Ho 0.303 0.697 0.000
Ho 0.233 0.233 0.968
Ho 0.697 0.303 0.000
Ho 0.363 0.964 0.329
Ho 0.767 0.767 0.032
Ho 0.036 0.637 0.671
Ru 0.668 0.668 0.832
Ru 0.000 0.000 0.000
Ru 0.332 0.332 0.168
Ru 0.000 0.000 0.500
Ru 0.339 0.339 0.670
Ru 0.661 0.661 0.330
Sm 0.894 0.894 0.302
Sm 0.106 0.106 0.698

Results
total energy: -6.374 eV/atom
space-group type: C2/m
magnetization: 0.00 μB/f.u.
energy relative to the elements: -1.93 eV per formula unit